PBE HoTiBe17, optimized geometry; electronic total energy = -78.87 eV/cell; formation enthalpy at 0 K = -161 meV/atom
1.0
5.6410 0.0123 0.6793
0.6039 5.6086 0.6793
0.0137 0.0123 5.6818
Ho Ti Be
1 1 17
Direct
0.6608 0.6608 0.6608
0.3342 0.3342 0.3342
0.2854 0.0033 0.7106
0.7106 0.2854 0.0033
0.0033 0.7106 0.2854
0.2854 0.7106 0.0033
0.0033 0.2854 0.7106
0.7106 0.0033 0.2854
0.3394 0.8467 0.3394
0.3394 0.3394 0.8467
0.8467 0.3394 0.3394
0.6547 0.1610 0.6547
0.6547 0.6547 0.1610
0.1610 0.6547 0.6547
0.0024 0.4987 0.0024
0.0024 0.0024 0.4987
0.4987 0.0024 0.0024
0.9066 0.9066 0.9066
0.1004 0.1004 0.1004